Entry 1:
DFT (GGA-PBE) results for a relaxed structure of SrTlRe2.

Values from the calculation:
Its symmetry is P4/mmm, No. 123. Its polymorph energy (0 for the lowest one) is 3.176 eV per formula unit.

Unit cell a=3.6816 b=3.6816 c=6.8490 alpha=90.00 beta=90.00 gamma=90.00
With the nearest neighbours (Å) after each atom.
Sites, in units of the cell vectors:
Sr 0.0000 0.0000 0.0000  2 Tl 3.42, 8 Re 3.43, 4 Sr 3.68
Tl 0.0000 0.0000 0.5000  8 Re 2.86
Re 0.5000 0.5000 0.3264  1 Re 2.38
Re 0.5000 0.5000 0.6736  1 Re 2.38

=====

Entry 2:
DFT (GGA-PBE) results for a relaxed structure of NiAg2Ru.

Values from the calculation:
Its symmetry is I-4m2, No. 119. Its polymorph energy (0 for the lowest one) is 1.029 eV per formula unit.

Unit cell a=4.7179 b=4.7179 c=4.7179 alpha=129.17 beta=129.17 gamma=74.74
With the nearest neighbours (Å) after each atom.
Sites, in units of the cell vectors:
Ni 0.0000 0.0000 0.0000  4 Ru 2.76, 8 Ag 2.76-2.86
Ag 0.5000 0.5000 0.0000  4 Ru 2.76, 4 Ag 2.76, 4 Ni 2.86
Ag 0.7500 0.2500 0.5000  4 Ni 2.76, 4 Ag 2.76, 4 Ru 2.86
Ru 0.2500 0.7500 0.5000  4 Ni 2.76, 8 Ag 2.76-2.86

=====

Entry 3:
DFT (GGA-PBE) results for a relaxed structure of ThSnIr.

Values from the calculation:
Its symmetry is Imm2, No. 44.

Unit cell a=6.1593 b=6.1593 c=6.1593 alpha=138.85 beta=103.66 gamma=90.62
With the nearest neighbours (Å) after each atom.
Sites, in units of the cell vectors:
Th 0.0000 0.0000 0.0000  4 Ir 3.11, 6 Sn 3.28-3.30
Th 0.5714 0.0714 0.5000  4 Ir 3.07, 6 Sn 3.37-3.41
Sn 0.0158 0.7229 0.2929  3 Ir 2.72-2.73
Sn 0.4300 0.7229 0.7071  3 Ir 2.72-2.73
Ir 0.1906 0.4146 0.7760  3 Sn 2.72-2.73
Ir 0.6386 0.4146 0.2240  3 Sn 2.72-2.73

=====

So what do the calculations give for energy of formation? Going down the list: 1.180 0.524 -0.709 eV per atom.
So what do the calculations give for M_tot? Going down the list: 0.2 2.4 0.0 μB/f.u..